A plane-wave DFT calculation with SCAN was carried out for TiHIr3 at its PBEsol-relaxed geometry.

extended XYZ file:
```
5
Lattice="3.890 0.000 0.000 0.000 3.890 0.000 0.000 0.000 3.890" Properties=species:S:1:pos:R:3 pbc="T T T"
Ir 0.000 1.945 0.000
Ir 1.945 0.000 0.000
Ir 0.000 0.000 1.945
H 0.000 0.000 0.000
Ti 1.945 1.945 1.945
```

Results
**E_tot**: -47.15 eV/atom
**DOS at the Fermi energy**: 1.0 states/eV/f.u.

***

A plane-wave DFT calculation with SCAN was carried out for RbNaAl2Sn at its PBEsol-relaxed geometry.

extended XYZ file:
```
5
Lattice="5.436 0.000 0.000 0.000 5.436 0.000 0.000 0.000 5.508" Properties=species:S:1:pos:R:3 pbc="T T T"
Na 0.000 0.000 0.000
Al 0.000 2.718 0.000
Al 2.718 0.000 0.000
Sn 0.000 0.000 2.754
Rb 2.718 2.718 2.754
```

Results
**DOS at the Fermi energy**: 3.6 states/eV/f.u.
**Calculated formation energy**: 681 meV/atom

***

Which formula does entry 2 have?
RbNaAl2Sn